{"formula": "Tb2MgSn2Rh5", "functional": "PBE", "state": "optimized geometry", "lattice_angstrom": [[3.697, 0.000, 0.000], [0.000, 10.178, 0.000], [0.000, 0.000, 10.178]], "species": ["Tb", "Tb", "Tb", "Tb", "Mg", "Mg", "Sn", "Sn", "Sn", "Sn", "Rh", "Rh", "Rh", "Rh", "Rh", "Rh", "Rh", "Rh", "Rh", "Rh"], "frac_coords": [[0.000, 0.669, 0.169], [0.000, 0.331, 0.831], [0.000, 0.169, 0.331], [0.000, 0.831, 0.669], [0.000, 0.000, 0.000], [0.000, 0.500, 0.500], [0.000, 0.130, 0.630], [0.000, 0.870, 0.370], [0.000, 0.630, 0.870], [0.000, 0.370, 0.130], [0.500, 0.201, 0.059], [0.500, 0.799, 0.941], [0.500, 0.059, 0.799], [0.500, 0.701, 0.441], [0.500, 0.941, 0.201], [0.500, 0.299, 0.559], [0.500, 0.559, 0.701], [0.500, 0.441, 0.299], [0.500, 0.500, 0.000], [0.500, 0.000, 0.500]], "rho_g_cm3": 9.5, "space_group": "P4/mbm (127)", "n_ef_per_ev_fu": 3.7, "ef_kj_per_mol_atoms": -53.5, "volume_a3_per_atom": 19.150, "magmom_total_mub_per_cell": 0.0}

{"formula": "LaTaSb2", "functional": "PBE", "state": "optimized geometry", "lattice_angstrom": [[-1.003, 1.616, -2.508], [1.806, -1.777, -1.868], [-8.541, -7.315, -1.298]], "species": ["La", "Sb", "Sb", "Ta"], "frac_coords": [[0.500, 0.500, 0.727], [0.000, 0.000, 0.963], [0.500, 0.500, 0.311], [0.000, 0.000, 0.499]], "rho_g_cm3": 8.3, "space_group": "P4mm (99)", "n_ef_per_ev_fu": 3.6, "e_above_lowest_polymorph_ev_per_atom": 0.497, "formation_energy_uncorrected_ev_per_atom": 0.09, "volume_a3_per_atom": 28.036, "magmom_total_mub_per_cell": 0.0}

{"formula": "Dy12ZrSc2", "functional": "PBE", "state": "optimized geometry", "lattice_angstrom": [[-3.646, -2.316, -4.563], [3.253, -5.373, 0.128], [-15.297, -8.864, 16.724]], "species": ["Dy", "Dy", "Dy", "Dy", "Dy", "Dy", "Dy", "Dy", "Dy", "Dy", "Dy", "Dy", "Dy", "Dy", "Dy", "Dy", "Dy", "Dy", "Dy", "Dy", "Dy", "Dy", "Dy", "Dy", "Zr", "Zr", "Sc", "Sc", "Sc", "Sc"], "frac_coords": [[0.500, 0.500, 0.791], [0.000, 0.000, 0.791], [0.692, 0.808, 0.896], [0.192, 0.692, 0.896], [0.000, 0.000, 0.334], [0.308, 0.808, 0.104], [0.831, 0.331, 0.563], [0.500, 0.500, 0.334], [0.308, 0.192, 0.896], [0.808, 0.692, 0.104], [0.331, 0.169, 0.563], [0.669, 0.169, 0.437], [0.000, 0.000, 0.666], [0.169, 0.331, 0.437], [0.192, 0.308, 0.104], [0.831, 0.669, 0.437], [0.669, 0.831, 0.563], [0.000, 0.000, 0.209], [0.169, 0.669, 0.563], [0.500, 0.500, 0.666], [0.808, 0.308, 0.896], [0.500, 0.500, 0.209], [0.331, 0.831, 0.437], [0.692, 0.192, 0.104], [0.500, 0.000, 0.000], [0.000, 0.500, 0.000], [0.500, 0.000, 0.270], [0.000, 0.500, 0.270], [0.000, 0.500, 0.730], [0.500, 0.000, 0.730]], "rho_g_cm3": 7.4, "space_group": "P4/nbm (125)", "n_ef_per_ev_fu": 19.1, "ef_kj_per_mol_atoms": 40.6, "volume_a3_per_atom": 32.023, "magmom_total_mub_per_cell": 0.0}

{"formula": "TaHgBr2", "functional": "PBE", "state": "optimized geometry", "lattice_angstrom": [[5.707, 0.000, 0.000], [2.206, 5.264, 0.000], [-3.957, -2.632, 3.161]], "species": ["Hg", "Br", "Br", "Ta"], "frac_coords": [[0.500, 0.500, 0.000], [0.000, 0.000, 0.000], [0.250, 0.750, 0.500], [0.750, 0.250, 0.500]], "rho_g_cm3": 9.5, "space_group": "I-4m2 (119)", "n_ef_per_ev_fu": 3.8, "e_above_lowest_polymorph_ev_per_atom": 1.037, "formation_energy_uncorrected_ev_per_atom": 0.77, "volume_a3_per_atom": 23.737, "magmom_total_mub_per_cell": 2.9}

{"formula": "Rb2NdPaO6", "functional": "PBE", "state": "optimized geometry", "lattice_angstrom": [[-0.930, -4.740, 4.149], [6.054, 0.486, 1.911], [1.333, 0.859, 6.170]], "species": ["Rb", "Rb", "Nd", "Pa", "O", "O", "O", "O", "O", "O"], "frac_coords": [[0.250, 0.750, 0.500], [0.750, 0.250, 0.500], [0.500, 0.500, 0.000], [0.000, 0.000, 0.000], [0.238, 0.763, 0.000], [0.763, 0.763, 0.000], [0.238, 0.238, 0.524], [0.762, 0.237, 0.000], [0.237, 0.237, 0.000], [0.762, 0.762, 0.476]], "rho_g_cm3": 5.8, "space_group": "Fm-3m (225)", "n_ef_per_ev_fu": 8.5, "formation_energy_uncorrected_ev_per_atom": -2.49, "volume_a3_per_atom": 18.262, "magmom_total_mub_per_cell": 2.0}

{"formula": "TbPH2Ru", "functional": "PBE", "state": "optimized geometry", "lattice_angstrom": [[3.836, 0.000, 0.000], [-1.918, 5.022, 0.000], [0.000, 0.000, 5.986]], "species": ["Tb", "Tb", "P", "P", "H", "H", "H", "H", "Ru", "Ru"], "frac_coords": [[0.714, 0.428, 0.750], [0.286, 0.572, 0.250], [0.432, 0.865, 0.750], [0.568, 0.135, 0.250], [0.168, 0.337, 0.937], [0.832, 0.663, 0.063], [0.168, 0.337, 0.563], [0.832, 0.663, 0.437], [0.000, 0.000, 0.000], [0.000, 0.000, 0.500]], "rho_g_cm3": 8.4, "space_group": "Cmcm (63)", "n_ef_per_ev_fu": 1.4, "volume_a3_per_atom": 11.529, "e_tot_ev_per_atom": -5.909, "magmom_total_mub_per_cell": 0.0}

{"formula": "LaZrBr2", "functional": "PBE", "state": "optimized geometry", "lattice_angstrom": [[4.961, 0.000, 0.000], [0.000, 4.961, 0.000], [2.480, 2.480, 9.502]], "species": ["Br", "Br", "Br", "Br", "Zr", "Zr", "La", "La"], "frac_coords": [[0.599, 0.125, 0.250], [0.151, 0.625, 0.250], [0.375, 0.401, 0.750], [0.875, 0.849, 0.750], [0.500, 0.500, 0.000], [0.250, 0.750, 0.500], [0.000, 0.000, 0.000], [0.750, 0.250, 0.500]], "rho_g_cm3": 5.5, "space_group": "I-42d (122)", "n_ef_per_ev_fu": 4.6, "e_above_lowest_polymorph_ev_per_atom": 0.353, "formation_energy_uncorrected_ev_per_atom": -0.59, "volume_a3_per_atom": 29.231, "magmom_total_mub_per_cell": 0.0}

{"formula": "MnSnPHS", "functional": "PBE", "state": "optimized geometry", "lattice_angstrom": [[-3.035, 2.144, 2.141], [-1.813, -0.049, -2.521], [-4.730, -10.290, 3.601]], "species": ["Mn", "Mn", "Sn", "Sn", "P", "P", "H", "H", "S", "S"], "frac_coords": [[0.000, 0.500, 0.648], [0.500, 0.000, 0.148], [0.000, 0.500, 0.418], [0.500, 0.000, 0.918], [0.000, 0.000, 0.794], [0.500, 0.500, 0.294], [0.000, 0.000, 0.589], [0.500, 0.500, 0.089], [0.000, 0.000, 0.139], [0.500, 0.500, 0.639]], "rho_g_cm3": 5.0, "space_group": "Imm2 (44)", "n_ef_per_ev_fu": 2.6, "e_above_lowest_polymorph_ev_per_atom": 0.083, "volume_a3_per_atom": 15.828, "magmom_total_mub_per_cell": 1.5}

{"formula": "NdPHOs", "functional": "PBE", "state": "optimized geometry", "lattice_angstrom": [[-1.415, 0.315, -3.781], [3.287, -1.914, -1.389], [-3.603, -6.759, 0.785]], "species": ["Nd", "Nd", "P", "P", "H", "H", "Os", "Os"], "frac_coords": [[0.000, 0.500, 0.829], [0.500, 0.000, 0.171], [0.500, 0.000, 0.659], [0.000, 0.500, 0.341], [0.500, 0.500, 0.000], [0.000, 0.000, 0.000], [0.000, 0.000, 0.500], [0.500, 0.500, 0.500]], "rho_g_cm3": 9.6, "space_group": "P4/nmm (129)", "n_ef_per_ev_fu": 1.7, "volume_a3_per_atom": 15.778, "e_tot_ev_per_atom": -6.972, "magmom_total_mub_per_cell": 0.0}

{"formula": "SmUTe6", "functional": "PBE", "state": "optimized geometry", "lattice_angstrom": [[13.506, -0.110, 0.000], [-12.777, 4.380, 0.000], [0.000, 0.000, 4.455]], "species": ["Te", "Te", "Te", "Te", "Te", "Te", "U", "Sm"], "frac_coords": [[0.422, 0.578, 0.000], [0.582, 0.418, 0.500], [0.704, 0.296, 0.000], [0.291, 0.709, 0.500], [0.082, 0.918, 0.000], [0.921, 0.079, 0.500], [0.170, 0.830, 0.500], [0.828, 0.172, 0.000]], "rho_g_cm3": 7.4, "space_group": "Amm2 (38)", "n_ef_per_ev_fu": 9.3, "formation_energy_uncorrected_ev_per_atom": -0.75, "volume_a3_per_atom": 32.165, "magmom_total_mub_per_cell": 2.2}

{"formula": "Sc3Hg4", "functional": "PBE", "state": "optimized geometry", "lattice_angstrom": [[1.018, 2.244, 5.524], [-4.228, -4.250, -0.806], [3.662, -3.808, 0.872]], "species": ["Sc", "Sc", "Sc", "Hg", "Hg", "Hg", "Hg"], "frac_coords": [[0.000, 0.500, 0.000], [0.500, 0.500, 0.000], [0.500, 0.000, 0.000], [0.000, 0.000, 0.251], [0.000, 0.000, 0.749], [0.667, 0.333, 0.500], [0.333, 0.667, 0.500]], "rho_g_cm3": 9.2, "space_group": "P6/mmm (191)", "n_ef_per_ev_fu": 6.4, "e_above_lowest_polymorph_ev_per_atom": 0.216, "ef_kj_per_mol_atoms": -5.6, "volume_a3_per_atom": 24.241, "magmom_total_mub_per_cell": 0.0}

{"formula": "Ce2DyRu3", "functional": "PBE", "state": "optimized geometry", "lattice_angstrom": [[4.772, 0.005, 0.001], [-2.382, 4.127, 0.000], [0.003, 0.001, 12.381]], "species": ["Ce", "Ce", "Ce", "Ce", "Dy", "Dy", "Ru", "Ru", "Ru", "Ru", "Ru", "Ru"], "frac_coords": [[0.000, 0.000, 0.500], [0.333, 0.667, 0.169], [0.667, 0.333, 0.831], [0.000, 0.000, 0.000], [0.334, 0.667, 0.666], [0.666, 0.333, 0.334], [0.332, 0.666, 0.425], [0.665, 0.333, 0.090], [0.000, 0.000, 0.761], [0.000, 0.000, 0.239], [0.335, 0.667, 0.910], [0.668, 0.334, 0.575]], "rho_g_cm3": 10.2, "space_group": "C2/m (12)", "n_ef_per_ev_fu": 4.2, "e_above_lowest_polymorph_ev_per_atom": 0.000, "ef_kj_per_mol_atoms": -32.8, "volume_a3_per_atom": 20.328, "magmom_total_mub_per_cell": 0.0}

{"formula": "Zr2MnAlH", "functional": "PBE", "state": "optimized geometry", "lattice_angstrom": [[-2.916, -1.229, 3.221], [1.375, -4.283, -0.389], [2.541, 0.586, 2.524]], "species": ["H", "Mn", "Al", "Zr", "Zr"], "frac_coords": [[0.000, 0.000, 0.000], [0.000, 0.000, 0.500], [0.500, 0.500, 0.500], [0.000, 0.500, 0.000], [0.500, 0.000, 0.000]], "rho_g_cm3": 6.0, "space_group": "P4/mmm (123)", "n_ef_per_ev_fu": 2.3, "volume_a3_per_atom": 14.800, "e_tot_ev_per_atom": -6.959, "magmom_total_mub_per_cell": 1.0}

{"formula": "BaBeI2O", "functional": "PBE", "state": "optimized geometry", "lattice_angstrom": [[-6.556, 1.560, -1.037], [-1.414, -1.647, 6.464], [0.815, 4.269, 1.266]], "species": ["I", "I", "Be", "Ba", "O"], "frac_coords": [[0.000, 0.500, 0.000], [0.500, 0.000, 0.000], [0.500, 0.500, 0.500], [0.000, 0.000, 0.000], [0.000, 0.000, 0.500]], "rho_g_cm3": 3.3, "space_group": "P4/mmm (123)", "n_ef_per_ev_fu": 9.4, "e_above_lowest_polymorph_ev_per_atom": 1.121, "formation_energy_uncorrected_ev_per_atom": -0.03, "volume_a3_per_atom": 42.093, "magmom_total_mub_per_cell": 0.0}

{"formula": "TbTh2Au6", "functional": "PBE", "state": "optimized geometry", "lattice_angstrom": [[3.441, 0.000, 0.000], [0.000, 7.181, -4.146], [0.000, 0.000, 8.292]], "species": ["Tb", "Th", "Th", "Au", "Au", "Au", "Au", "Au", "Au"], "frac_coords": [[0.000, 0.000, 0.000], [0.000, 0.333, 0.667], [0.000, 0.667, 0.333], [0.500, 0.332, 0.332], [0.500, 0.668, 0.668], [0.500, 0.000, 0.668], [0.500, 0.668, 0.000], [0.500, 0.332, 0.000], [0.500, 0.000, 0.332]], "rho_g_cm3": 14.6, "space_group": "P6/mmm (191)", "n_ef_per_ev_fu": 6.5, "ef_kj_per_mol_atoms": -69.6, "volume_a3_per_atom": 22.767, "magmom_total_mub_per_cell": 0.0}

{"formula": "TaPbBr2", "functional": "PBE", "state": "optimized geometry", "lattice_angstrom": [[-2.223, -1.003, 2.461], [0.620, -2.096, -2.689], [7.569, -4.290, 5.088]], "species": ["Pb", "Br", "Br", "Ta"], "frac_coords": [[0.000, 0.000, 0.514], [0.000, 0.000, 0.949], [0.500, 0.500, 0.280], [0.500, 0.500, 0.757]], "rho_g_cm3": 8.6, "space_group": "Cmm2 (35)", "n_ef_per_ev_fu": 2.1, "e_above_lowest_polymorph_ev_per_atom": 0.362, "formation_energy_uncorrected_ev_per_atom": 0.18, "volume_a3_per_atom": 26.357, "magmom_total_mub_per_cell": 0.0}

{"formula": "GaNiMo", "functional": "PBE", "state": "optimized geometry", "lattice_angstrom": [[-0.666, -2.095, 5.181], [1.485, -2.918, -0.989], [8.107, 4.296, -0.502]], "species": ["Ga", "Ga", "Ga", "Ga", "Ni", "Ni", "Ni", "Ni", "Mo", "Mo", "Mo", "Mo"], "frac_coords": [[0.035, 0.000, 0.365], [0.035, 0.500, 0.865], [0.427, 0.000, 0.047], [0.427, 0.500, 0.547], [0.741, 0.000, 0.693], [0.741, 0.500, 0.193], [0.891, 0.000, 0.023], [0.891, 0.500, 0.523], [0.548, 0.000, 0.360], [0.548, 0.500, 0.860], [0.226, 0.000, 0.700], [0.226, 0.500, 0.200]], "rho_g_cm3": 8.9, "space_group": "Cm (8)", "n_ef_per_ev_fu": 1.4, "ef_kj_per_mol_atoms": -9.3, "volume_a3_per_atom": 13.920, "magmom_total_mub_per_cell": 0.0}

{"formula": "Sr3HfZn", "functional": "PBE", "state": "optimized geometry", "lattice_angstrom": [[6.199, 0.000, 0.000], [0.000, 6.199, 0.000], [0.000, 0.000, 6.199]], "species": ["Sr", "Sr", "Sr", "Zn", "Hf"], "frac_coords": [[0.000, 0.500, 0.000], [0.000, 0.000, 0.500], [0.500, 0.000, 0.000], [0.500, 0.500, 0.500], [0.000, 0.000, 0.000]], "rho_g_cm3": 3.5, "space_group": "Pm-3m (221)", "n_ef_per_ev_fu": 10.2, "e_above_lowest_polymorph_ev_per_atom": 0.307, "ef_kj_per_mol_atoms": 96.1, "volume_a3_per_atom": 47.645, "magmom_total_mub_per_cell": 1.7}

{"formula": "BaSb2Se4", "functional": "PBE", "state": "optimized geometry", "lattice_angstrom": [[21.302, 0.000, 0.000], [0.000, 8.776, 0.001], [0.000, 8.620, 9.282]], "species": ["Ba", "Ba", "Ba", "Ba", "Ba", "Ba", "Ba", "Ba", "Sb", "Sb", "Sb", "Sb", "Sb", "Sb", "Sb", "Sb", "Sb", "Sb", "Sb", "Sb", "Sb", "Sb", "Sb", "Sb", "Se", "Se", "Se", "Se", "Se", "Se", "Se", "Se", "Se", "Se", "Se", "Se", "Se", "Se", "Se", "Se", "Se", "Se", "Se", "Se", "Se", "Se", "Se", "Se", "Se", "Se", "Se", "Se", "Se", "Se", "Se", "Se"], "frac_coords": [[0.205, 0.156, 0.898], [0.705, 0.844, 0.602], [0.795, 0.844, 0.102], [0.295, 0.156, 0.398], [0.806, 0.345, 0.601], [0.306, 0.655, 0.899], [0.194, 0.655, 0.399], [0.694, 0.345, 0.101], [0.034, 0.895, 0.910], [0.534, 0.105, 0.590], [0.966, 0.105, 0.090], [0.466, 0.895, 0.410], [0.005, 0.487, 0.355], [0.505, 0.513, 0.145], [0.995, 0.513, 0.645], [0.495, 0.487, 0.855], [0.388, 0.870, 0.120], [0.888, 0.130, 0.380], [0.612, 0.130, 0.880], [0.112, 0.870, 0.620], [0.379, 0.337, 0.647], [0.879, 0.663, 0.853], [0.621, 0.663, 0.353], [0.121, 0.337, 0.147], [0.146, 0.304, 0.366], [0.646, 0.696, 0.134], [0.854, 0.696, 0.634], [0.354, 0.304, 0.866], [0.075, 0.894, 0.107], [0.575, 0.106, 0.393], [0.925, 0.106, 0.893], [0.425, 0.894, 0.607], [0.653, 0.267, 0.572], [0.153, 0.733, 0.928], [0.347, 0.733, 0.428], [0.847, 0.267, 0.072], [0.467, 0.519, 0.337], [0.967, 0.481, 0.163], [0.533, 0.481, 0.663], [0.033, 0.519, 0.837], [0.087, 0.269, 0.679], [0.587, 0.731, 0.821], [0.913, 0.731, 0.321], [0.413, 0.269, 0.179], [0.938, 0.140, 0.570], [0.438, 0.860, 0.930], [0.062, 0.860, 0.430], [0.562, 0.140, 0.070], [0.728, 0.816, 0.352], [0.228, 0.184, 0.148], [0.272, 0.184, 0.648], [0.772, 0.816, 0.852], [0.218, 0.696, 0.648], [0.718, 0.304, 0.852], [0.782, 0.304, 0.352], [0.282, 0.696, 0.148]], "rho_g_cm3": 5.3, "space_group": "P2_1/c (14)", "e_above_lowest_polymorph_ev_per_atom": 0.000, "formation_energy_uncorrected_ev_per_atom": -0.80, "volume_a3_per_atom": 30.985, "magmom_total_mub_per_cell": 0.0}

{"formula": "SrIn2I8", "functional": "PBE", "state": "optimized geometry", "lattice_angstrom": [[9.383, 0.000, 4.141], [4.148, 10.592, 3.302], [0.229, -0.190, 12.181]], "species": ["Sr", "Sr", "In", "In", "In", "In", "I", "I", "I", "I", "I", "I", "I", "I", "I", "I", "I", "I", "I", "I", "I", "I"], "frac_coords": [[0.007, 0.750, 0.250], [0.993, 0.250, 0.750], [0.837, 0.856, 0.962], [0.345, 0.356, 0.462], [0.655, 0.644, 0.538], [0.163, 0.144, 0.038], [0.361, 0.778, 0.546], [0.152, 0.960, 0.238], [0.707, 0.967, 0.177], [0.202, 0.202, 0.461], [0.293, 0.033, 0.823], [0.865, 0.298, 0.039], [0.798, 0.798, 0.539], [0.149, 0.467, 0.677], [0.135, 0.702, 0.961], [0.685, 0.722, 0.954], [0.650, 0.460, 0.738], [0.350, 0.540, 0.262], [0.315, 0.278, 0.046], [0.851, 0.533, 0.323], [0.639, 0.222, 0.454], [0.848, 0.040, 0.762]], "rho_g_cm3": 3.7, "space_group": "C2/c (15)", "n_ef_per_ev_fu": 0.0, "formation_energy_uncorrected_ev_per_atom": -0.82, "volume_a3_per_atom": 54.686, "magmom_total_mub_per_cell": 0.0}